P.
## Er2RuI (PBE-GGA)

Data for a relaxed structure of Er2RuI.

volume	25.0	Å³/atom
Fermi-level density of states	1.66	states/eV/f.u.

a = 3.4677 Å, b = 3.4677 Å, c = 8.3156 Å
α = 90.00°, β = 90.00°, γ = 90.00°
Space group P4/mmm (No. 123)
One atom of each set of equivalent atoms:
Er 0.0000 0.0000 0.1960
Ru 0.5000 0.5000 0.0000
I 0.5000 0.5000 0.5000


Q.
## Er2RuI (PBE-GGA)

Data for a relaxed structure of Er2RuI.

volume	27.6	Å³/atom
Fermi-level density of states	2.11	states/eV/f.u.

a = 4.0216 Å, b = 4.0216 Å, c = 23.6303 Å
α = 90.00°, β = 90.00°, γ = 120.00°
Space group R-3m (No. 166, hexagonal axes)
One atom of each set of equivalent atoms:
Er 0.0000 0.0000 0.2270
Ru 0.0000 0.0000 0.5000
I 0.0000 0.0000 0.0000


Out of the structures above, which one is the most stable? Solution: Q.